DFT (PBE) results for crystalline BeHg2W at its relaxed geometry.

Cell and atoms, written as POSCAR:
```
BeHg2W
1.0
3.997 0.000 0.000
0.000 3.999 0.000
0.000 0.000 4.250
W Hg Be
1 2 1
direct
0.500 0.000 0.500
0.000 0.000 0.000
0.500 0.500 0.000
0.000 0.500 0.500
```

Properties
**Crystal system**: tetragonal
**Formation enthalpy at 0 K**: 797 meV per atom
**Volume**: 17.0 Å³/atom
**E**: -14.09 eV for the cell shown

=====

DFT (PBE) results for crystalline BeHg2W at its relaxed geometry.

Cell and atoms, written as POSCAR:
```
BeHg2W
1.0
3.905 0.000 0.000
0.000 3.905 0.000
1.953 1.953 9.807
Hg Be W
4 2 2
direct
0.620 0.125 0.250
0.130 0.625 0.250
0.375 0.380 0.750
0.875 0.870 0.750
0.500 0.500 0.000
0.250 0.750 0.500
0.000 0.000 0.000
0.750 0.250 0.500
```

Properties
**Crystal system**: tetragonal
**Formation enthalpy at 0 K**: 1134 meV per atom
**Volume**: 18.7 Å³/atom
**E**: -25.49 eV for the cell shown

=====

DFT (PBE) results for crystalline BeHg2W at its relaxed geometry.

Cell and atoms, written as POSCAR:
```
BeHg2W
1.0
-2.173 1.471 -1.157
-0.701 -2.284 -1.586
-4.905 -2.598 5.911
W Hg Be
1 2 1
direct
0.500 0.500 0.250
0.000 0.000 0.971
0.000 0.000 0.529
0.500 0.500 0.750
```

Properties
**Crystal system**: tetragonal
**Formation enthalpy at 0 K**: 774 meV per atom
**Volume**: 16.7 Å³/atom
**E**: -14.19 eV for the cell shown

=====

DFT (PBE) results for crystalline Be3HgW at its relaxed geometry.

Cell and atoms, written as POSCAR:
```
Be3HgW
1.0
-0.311 1.595 -4.095
3.441 -2.464 -1.221
-2.733 -3.285 -1.072
Be W Hg
3 1 1
direct
0.000 0.500 0.000
0.000 0.000 0.500
0.500 0.000 0.000
0.000 0.000 0.000
0.500 0.500 0.500
```

Properties
**Crystal system**: cubic
**Formation enthalpy at 0 K**: 1445 meV per atom
**Volume**: 17.1 Å³/atom
**Relative energy among the computed polymorphs**: 0.00 kJ/mol of atoms
**E**: -17.21 eV for the cell shown

=====

DFT (PBE) results for crystalline BeHg2W at its relaxed geometry.

Cell and atoms, written as POSCAR:
```
BeHg2W
1.0
-3.771 4.011 -1.122
-4.797 1.606 -2.445
-3.698 0.019 2.836
Hg W Be
2 1 1
direct
0.456 0.456 0.544
0.044 0.044 0.956
0.250 0.250 0.250
0.750 0.750 0.750
```

Properties
**Crystal system**: orthorhombic
**Formation enthalpy at 0 K**: 802 meV per atom
**Volume**: 16.7 Å³/atom
**E**: -14.07 eV for the cell shown

=====

DFT (PBE) results for crystalline Be3HgW at its relaxed geometry.

Cell and atoms, written as POSCAR:
```
Be3HgW
1.0
-0.255 -2.186 -3.635
0.092 -3.644 2.185
-4.241 0.053 0.266
Be W Hg
3 1 1
direct
0.500 0.000 0.000
0.000 0.000 0.500
0.000 0.500 0.000
0.500 0.500 0.500
0.000 0.000 0.000
```

Properties
**Crystal system**: cubic
**Formation enthalpy at 0 K**: 1581 meV per atom
**Volume**: 15.3 Å³/atom
**Relative energy among the computed polymorphs**: 13.11 kJ/mol of atoms
**E**: -16.53 eV for the cell shown

=====

DFT (PBE) results for crystalline BeHg2W at its relaxed geometry.

Cell and atoms, written as POSCAR:
```
BeHg2W
1.0
-3.190 0.713 -1.290
-1.187 -1.335 2.198
-0.701 5.395 4.718
W Hg Be
1 2 1
direct
0.000 0.529 0.567
0.500 0.173 0.278
0.000 0.832 0.959
0.500 0.965 0.696
```

Properties
**Crystal system**: orthorhombic
**Formation enthalpy at 0 K**: 595 meV per atom
**Volume**: 17.6 Å³/atom
**E**: -14.90 eV for the cell shown

=====

DFT (PBE) results for crystalline BeHg2W at its relaxed geometry.

Cell and atoms, written as POSCAR:
```
BeHg2W
1.0
-2.958 4.338 0.217
-4.625 2.310 -0.941
-2.739 -0.165 4.231
Hg W Be
2 1 1
direct
0.246 0.246 0.266
0.028 0.028 0.995
0.469 0.469 0.546
0.757 0.757 0.693
```

Properties
**Crystal system**: monoclinic
**Formation enthalpy at 0 K**: 732 meV per atom
**Volume**: 17.3 Å³/atom
**E**: -14.36 eV for the cell shown

=====

DFT (PBE) results for crystalline Y2BeHg at its relaxed geometry.

Cell and atoms, written as POSCAR:
```
Y2BeHg
1.0
-1.254 0.845 4.149
-3.505 -1.410 -0.772
-0.042 -5.816 1.172
Y Be Hg
2 1 1
direct
0.500 0.273 0.329
0.000 0.972 0.931
0.000 0.698 0.481
0.500 0.557 0.759
```

Properties
**Crystal system**: orthorhombic
**Formation enthalpy at 0 K**: -157 meV per atom
**Volume**: 23.9 Å³/atom
**Relative energy among the computed polymorphs**: 5.78 kJ/mol of atoms
**E**: -17.59 eV for the cell shown

=====

DFT (PBE) results for crystalline YBe3Hg at its relaxed geometry.

Cell and atoms, written as POSCAR:
```
YBe3Hg
1.0
5.250 0.000 0.000
0.000 5.250 0.000
0.000 0.000 5.250
Be Hg Y
3 1 1
direct
0.500 0.000 0.000
0.000 0.500 0.000
0.000 0.000 0.500
0.500 0.500 0.500
0.000 0.000 0.000
```

Properties
**Crystal system**: cubic
**Formation enthalpy at 0 K**: 1810 meV per atom
**Volume**: 28.9 Å³/atom
**Relative energy among the computed polymorphs**: 128.10 kJ/mol of atoms
**E**: -8.90 eV for the cell shown

=====

DFT (PBE) results for crystalline Y2BeHg at its relaxed geometry.

Cell and atoms, written as POSCAR:
```
Y2BeHg
1.0
-4.166 -0.978 1.185
-3.576 -0.932 -2.462
0.079 -7.114 -0.077
Hg Y Be
1 2 1
direct
0.250 0.250 0.250
0.490 0.490 0.539
0.010 0.010 0.961
0.750 0.750 0.750
```

Properties
**Crystal system**: monoclinic
**Formation enthalpy at 0 K**: 16 meV per atom
**Volume**: 25.8 Å³/atom
**Relative energy among the computed polymorphs**: 22.51 kJ/mol of atoms
**E**: -16.89 eV for the cell shown

=====

DFT (PBE) results for crystalline Y2BeHg at its relaxed geometry.

Cell and atoms, written as POSCAR:
```
Y2BeHg
1.0
-0.816 1.559 4.738
-4.727 0.488 1.722
-1.778 -3.234 3.454
Be Y Hg
1 2 1
direct
0.500 0.500 0.500
0.250 0.250 0.250
0.000 0.000 0.000
0.750 0.750 0.750
```

Properties
**Crystal system**: cubic
**Formation enthalpy at 0 K**: 335 meV per atom
**Volume**: 22.8 Å³/atom
**Relative energy among the computed polymorphs**: 53.29 kJ/mol of atoms
**E**: -15.62 eV for the cell shown

=====

DFT (PBE) results for crystalline YBeHg at its relaxed geometry.

Cell and atoms, written as POSCAR:
```
YBeHg
1.0
4.659 0.000 0.000
2.329 4.035 0.000
2.329 1.345 3.804
Hg Be Y
1 1 1
direct
0.750 0.750 0.750
0.500 0.500 0.500
0.000 0.000 0.000
```

Properties
**Crystal system**: cubic
**Formation enthalpy at 0 K**: 181 meV per atom
**Volume**: 23.8 Å³/atom
**Relative energy among the computed polymorphs**: 38.31 kJ/mol of atoms
**E**: -9.95 eV for the cell shown

=====

DFT (PBE) results for crystalline YBe2Hg at its relaxed geometry.

Cell and atoms, written as POSCAR:
```
YBe2Hg
1.0
-0.494 -0.772 -3.848
-3.529 -1.182 -1.340
-2.713 4.389 -2.566
Be Hg Y
2 1 1
direct
0.052 0.052 0.845
0.723 0.723 0.832
0.463 0.463 0.611
0.262 0.262 0.212
```

Properties
**Crystal system**: trigonal
**Formation enthalpy at 0 K**: -21 meV per atom
**Volume**: 17.9 Å³/atom
**E**: -14.30 eV for the cell shown

=====

DFT (PBE) results for crystalline YBe3Hg at its relaxed geometry.

Cell and atoms, written as POSCAR:
```
YBe3Hg
1.0
-4.063 -1.589 -0.881
1.201 -3.968 1.620
-1.364 1.241 4.051
Hg Y Be
1 1 3
direct
0.000 0.000 0.000
0.500 0.500 0.500
0.000 0.500 0.000
0.500 0.000 0.000
0.000 0.000 0.500
```

Properties
**Crystal system**: cubic
**Formation enthalpy at 0 K**: 482 meV per atom
**Volume**: 17.6 Å³/atom
**Relative energy among the computed polymorphs**: 0.00 kJ/mol of atoms
**E**: -15.53 eV for the cell shown